No. 1
# Mo2RhBr

A geometry-optimized Mo2RhBr structure (PBEsol, Alexandria).

abc: 2.929 3.020 6.775
angles: 90.00 90.00 90.00
Fractional coordinates of all 4 atoms:
Mo: 0.000 0.000 0.249
Mo: 0.000 0.000 0.751
Rh: 0.500 0.500 0.500
Br: 0.500 0.500 0.000

Summary:
SG   Pmmm, No. 47
Distance to the lowest polymorph of the same formula   0.000 kcal/mol of atoms

***

No. 2
# MoRhSe2Br

A geometry-optimized MoRhSe2Br structure (PBEsol, Alexandria).

abc: 4.815 4.815 4.821
angles: 90.00 90.00 90.00
Fractional coordinates of all 5 atoms:
Mo: 0.000 0.000 0.000
Rh: 0.500 0.500 0.500
Se: 0.000 0.500 0.500
Se: 0.500 0.000 0.500
Br: 0.500 0.500 0.000

Summary:
SG   P4/mmm, No. 123

***

No. 3
# Mo4RuBr

A geometry-optimized Mo4RuBr structure (PBEsol, Alexandria).

abc: 5.172 5.172 5.172
angles: 60.00 60.00 60.00
Fractional coordinates of all 6 atoms:
Mo: 0.125 0.125 0.125
Mo: 0.125 0.125 0.625
Mo: 0.125 0.625 0.125
Mo: 0.625 0.125 0.125
Ru: 0.500 0.500 0.500
Br: 0.750 0.750 0.750

Summary:
SG   F-43m, No. 216

***

So what do the calculations give for raw formation energy? Going down the list: 0.444, 0.862, 0.929 eV per atom.
So what do the calculations give for DOS(E_F)? Going down the list: 4.75, 4.89, 6.91 states/eV/f.u..
So what do the calculations give for raw total energy? Going down the list: -7.9425, -5.0331, -8.9235 eV per atom.